Record 1
5
Lattice="5.646 0.000 0.000 0.000 4.550 0.000 0.000 0.000 5.646" Properties=species:S:1:pos:R:3 comment="SiIrI2N GGA-PBE relaxed" formation_energy_uncorrected_mev_per_atom=1669 relative_energy_ev_per_fu=4.865 magnetic_moment_mub_per_fu=3.872 volume_a3_per_atom=29.01 pbc="T T T"
N 2.823 2.275 2.823
I 2.823 0.000 0.000
Si 0.000 0.000 0.000
I 0.000 0.000 2.823
Ir 0.000 2.275 0.000



Record 2
22
Lattice="7.328 0.000 0.000 0.000 10.210 0.000 0.000 0.000 10.210" Properties=species:S:1:pos:R:3 comment="Rb3NiBr7 GGA-PBE relaxed" formation_energy_uncorrected_mev_per_atom=-1031 magnetic_moment_mub_per_fu=0.000 volume_a3_per_atom=34.73 pbc="T T T"
Br 5.609 3.915 9.020
Rb 0.000 0.000 0.000
Br 1.720 3.915 9.020
Br 1.720 9.020 6.295
Br 0.000 6.827 8.488
Br 0.000 3.383 1.722
Br 5.609 9.020 6.295
Br 0.000 1.722 6.827
Br 5.609 6.295 1.190
Ni 0.000 0.000 5.105
Br 0.000 8.488 3.383
Br 1.720 1.190 3.915
Rb 3.664 3.324 1.781
Br 1.720 6.295 1.190
Br 3.664 0.000 0.000
Br 5.609 1.190 3.915
Rb 3.664 8.429 3.324
Br 3.664 5.105 5.105
Ni 0.000 5.105 0.000
Rb 3.664 6.886 8.429
Rb 3.664 1.781 6.886
Rb 0.000 5.105 5.105



Record 3
11
Lattice="7.098 -0.003 -0.375 0.003 6.823 0.003 -0.816 -0.003 7.061" Properties=species:S:1:pos:R:3 comment="Tb7Ge2Bi2 GGA-PBE relaxed" delta_e_f_kj_per_mol_fu=-462 magnetic_moment_mub_per_fu=0.000 volume_a3_per_atom=30.90 pbc="T T T"
Bi 5.062 3.407 5.387
Tb -0.407 1.733 3.531
Ge 1.341 6.820 5.040
Tb 0.000 0.000 0.000
Tb 3.142 1.660 3.344
Ge 4.944 -0.003 1.649
Bi 1.224 3.410 1.302
Tb 2.734 1.730 6.874
Tb 3.143 5.157 3.345
Tb 3.552 5.088 -0.185
Tb 6.692 5.085 3.158



Record 4
10
Lattice="5.511 -0.260 -0.078 -0.403 8.179 -0.186 2.513 3.796 3.923" Properties=species:S:1:pos:R:3 comment="Th2MnSiRh6 GGA-PBE relaxed" formation_energy_uncorrected_mev_per_atom=-606 magnetic_moment_mub_per_fu=3.967 volume_a3_per_atom=18.22 pbc="T T T"
Mn 0.000 0.000 0.000
Rh 3.568 9.797 3.757
Si 2.554 3.960 -0.132
Th 5.144 3.569 1.917
Rh 2.650 5.190 1.864
Rh 6.309 9.644 3.154
Rh 1.313 2.071 0.506
Th 2.477 8.145 1.742
Rh 4.972 6.525 1.795
Rh 4.053 1.918 -0.098



Record 5
4
Lattice="5.355 0.000 0.000 2.678 4.638 0.000 2.678 1.546 4.372" Properties=species:S:1:pos:R:3 comment="EuZnInPb GGA-PBE relaxed" delta_e_f_kj_per_mol_fu=-73 magnetic_moment_mub_per_fu=6.890 volume_a3_per_atom=27.15 pbc="T T T"
Zn 0.000 0.000 0.000
Pb 5.355 3.092 2.186
Eu 8.033 4.638 3.279
In 2.678 1.546 1.093



Record 6
9
Lattice="5.414 -0.376 0.496 0.191 5.883 2.368 -0.510 0.918 6.257" Properties=species:S:1:pos:R:3 comment="Sm2AlAu6 GGA-PBE relaxed" delta_e_f_kj_per_mol_fu=-572 magnetic_moment_mub_per_fu=0.000 volume_a3_per_atom=21.11 pbc="T T T"
Sm 4.355 1.957 3.283
Sm 0.741 4.468 5.838
Au 3.508 5.313 7.416
Au 1.352 1.534 4.579
Al 0.000 0.000 0.000
Au 1.587 1.111 1.705
Au 1.674 3.814 2.793
Au 3.421 2.611 6.327
Au 3.743 4.891 4.541



Record 7
80
Lattice="-6.783 4.655 9.300 -5.017 -10.691 -3.834 11.590 -2.050 3.953" Properties=species:S:1:pos:R:3 comment="Ni3Ir12W5 GGA-PBE relaxed" delta_e_f_kj_per_mol_fu=1361 magnetic_moment_mub_per_fu=0.000 volume_a3_per_atom=18.42 pbc="T T T"
W 3.286 -6.370 0.060
Ir 3.536 -1.796 9.373
W 0.168 -3.940 0.713
W -0.378 -4.146 8.706
Ni 5.310 -7.312 3.388
Ir -5.139 -0.136 8.316
Ir -6.053 -3.399 5.205
Ir -3.458 -3.146 2.185
W -0.105 -4.043 4.710
Ir -5.557 -5.287 1.725
Ir -3.943 -5.670 7.751
Ir 2.221 -3.165 5.023
Ir -2.431 -4.921 4.397
Ir -3.746 -6.290 0.047
Ir -2.108 -3.738 -0.036
W -4.637 -8.447 -0.535
W -2.508 -5.345 -1.917
Ir 0.919 2.170 10.559
Ni 2.023 -0.941 3.328
W 5.795 -1.025 1.977
W 2.404 1.302 6.627
Ni 3.455 -10.310 0.773
Ir -1.864 1.750 6.552
Ni 8.039 -3.885 3.663
Ir 3.733 -2.416 1.669
Ir -3.412 -9.523 -2.303
Ir -3.507 -0.167 4.870
Ir 9.341 -1.817 5.036
Ir -0.030 -5.407 2.608
Ir 5.347 -2.799 7.694
Ir -4.894 1.896 6.609
Ir -0.744 -8.734 4.328
Ir 1.971 -8.426 0.629
Ir -7.056 -6.241 5.321
Ir -1.377 -6.264 8.155
Ir -0.183 -1.654 3.956
W -3.391 2.327 4.650
W 0.000 0.000 0.000
Ir 2.869 -6.238 2.527
Ir 3.248 -4.940 7.235
Ir 1.898 -4.348 9.455
Ir -0.180 -2.679 6.811
Ir 1.655 -9.836 2.868
Ni -5.520 -0.774 6.031
Ir -1.129 -10.256 -1.140
Ir 3.297 -7.920 4.550
Ir -0.027 -6.432 5.463
Ir 1.167 -1.822 1.264
Ni -2.782 -5.449 2.080
W -3.876 -3.959 6.061
W -2.349 -1.183 3.023
Ir -3.432 -7.363 4.021
W 5.522 -1.128 5.973
Ir 3.222 -0.724 5.399
Ir 4.929 -7.950 1.104
Ir 6.981 -6.041 2.220
W -0.264 -8.205 -0.230
Ni 0.937 -7.554 3.083
W 0.055 0.119 9.650
W 4.427 0.361 9.955
Ir -9.551 -6.269 4.384
Ni -3.664 2.224 8.647
W -5.732 -6.958 3.446
Ir 3.202 1.437 11.723
W 3.667 -4.127 3.358
Ir 5.843 -4.688 4.214
Ir 1.282 -0.649 7.729
Ir 0.534 0.648 5.091
Ir 4.684 -9.982 2.811
Ni -8.249 -4.201 5.756
Ni 2.572 -2.637 7.340
W -5.900 -3.018 2.733
Ir -1.492 -7.437 1.690
W 2.139 -6.903 6.396
Ir 6.847 -1.845 4.099
Ir -7.190 -2.045 7.199
Ir -3.079 -1.848 6.892
Ni -1.147 -0.532 6.337
Ir -2.181 0.340 8.791
Ni -2.233 -7.145 6.091



Record 8
12
Lattice="3.181 0.000 0.000 0.000 13.492 0.000 0.000 0.000 5.647" Properties=species:S:1:pos:R:3 comment="SnPd GGA-PBE relaxed" delta_e_f_kj_per_mol_fu=-67 magnetic_moment_mub_per_fu=0.000 volume_a3_per_atom=20.20 pbc="T T T"
Pd 1.591 11.486 2.007
Pd 1.591 8.753 4.830
Pd 1.591 4.739 4.830
Sn 0.000 4.212 1.497
Sn 0.000 6.746 3.554
Sn 0.000 10.958 4.320
Sn 0.000 9.281 1.497
Pd 0.000 0.000 3.545
Pd 0.000 6.746 0.721
Sn 0.000 0.000 0.731
Sn 0.000 2.535 4.320
Pd 1.591 2.007 2.007



Record 9
6
Lattice="5.073 0.000 0.000 2.537 4.394 0.000 2.537 1.465 4.142" Properties=species:S:1:pos:R:3 comment="TbThCo4 GGA-PBE relaxed" relative_energy_ev_per_fu=0.077 delta_e_f_kj_per_mol_fu=-106 magnetic_moment_mub_per_fu=0.002 volume_a3_per_atom=15.39 pbc="T T T"
Th 2.537 1.465 1.036
Co 3.801 3.664 2.591
Co 5.073 1.460 2.591
Co 5.073 2.929 0.513
Tb 0.000 0.000 0.000
Co 6.346 3.664 2.591



Record 10
10
Lattice="-7.053 1.977 1.410 -1.312 -6.747 2.897 1.156 1.409 3.805" Properties=species:S:1:pos:R:3 comment="Y2Hg2Ir GGA-PBE relaxed" relative_energy_ev_per_fu=1.584 delta_e_f_kj_per_mol_fu=-114 magnetic_moment_mub_per_fu=0.000 volume_a3_per_atom=23.47 pbc="T T T"
Y -5.656 0.148 4.002
Hg -6.938 -2.567 3.058
Hg -1.426 -2.203 1.249
Ir 0.000 0.000 0.000
Y -5.272 -3.517 5.243
Y -1.937 0.155 2.870
Hg -4.649 0.348 1.283
Hg -3.716 -5.119 3.024
Y -1.552 -3.510 4.110
Ir -4.182 -2.385 2.154



Record 11
15
Lattice="9.269 0.000 0.000 -4.635 8.045 -0.036 0.000 -5.338 8.419" Properties=species:S:1:pos:R:3 comment="K3La3BiTe8 GGA-PBE relaxed" formation_energy_uncorrected_mev_per_atom=-1170 magnetic_moment_mub_per_fu=0.000 volume_a3_per_atom=41.73 pbc="T T T"
La -2.317 1.354 4.191
Te 0.000 -0.020 5.977
La 2.317 1.354 4.191
Bi 0.000 -2.669 4.209
K -2.317 4.023 -0.018
La 4.635 -2.669 4.209
K 0.000 0.000 0.000
Te 4.635 0.019 6.024
Te 4.635 2.728 2.405
Te 0.000 2.688 2.359
Te -2.351 4.062 5.958
K 2.317 4.023 -0.018
Te 2.351 4.062 5.958
Te 2.283 -1.355 2.424
Te 6.986 -1.355 2.424



Record 12
3
Lattice="-3.306 -2.463 0.100 1.828 1.141 3.516 -2.193 2.951 0.183" Properties=species:S:1:pos:R:3 comment="ErCuSi GGA-PBE relaxed" formation_energy_uncorrected_mev_per_atom=-646 magnetic_moment_mub_per_fu=0.000 volume_a3_per_atom=18.07 pbc="T T T"
Er -1.595 -1.262 1.238
Cu -1.096 1.475 0.091
Si -0.980 1.415 2.469